A relaxed PmSm2In crystal, computed with PBE.

Its density of states at the Fermi level is 1.335 states/eV/atom. The value obtained for the polymorph energy (0 for the lowest one) is 143 meV/atom. The formation energy comes out at -0.5 eV/f.u. Its crystal system is trigonal. The calculated total energy is -4.361 eV/atom.

The structure belongs to space group R3m (No. 160, hexagonal axes); the cell edges are 3.7017, 3.7017 and 32.8088 Å and the angles 90.00°, 90.00° and 120.00°. The distinct sites, in fractional coordinates, are Pm at (0.0000, 0.0000, 0.0000), Sm at (0.0000, 0.0000, 0.5765), Sm at (0.0000, 0.0000, 0.7573) and In at (0.0000, 0.0000, 0.1667).